A geometry-optimized SrCaCd2 structure, computed with PBE-GGA.

Unit cell a=6.7269 b=6.7269 c=6.7269 alpha=146.92 beta=130.32 gamma=60.99
Last column: nearest neighbours and their distance in Å.
Fractional positions:
Cd 0.0227 0.0227 0.0000  2 Cd 3.01
Cd 0.2234 0.7234 0.5000  2 Cd 3.01
Sr 0.4788 0.4788 0.0000  6 Cd 3.45-3.53, 2 Ca 3.68, 2 Sr 3.83
Ca 0.7751 0.2751 0.5000  6 Cd 3.45-3.47, 2 Sr 3.68, 2 Ca 3.83

Properties
The calculated formation energy comes out at -255 meV per atom. Its crystal system is orthorhombic. The value obtained for the density of states at the Fermi level is 2.57 states/eV/cell.